# 1
Nb2RuPt (PBE, optimized geometry); spin magnetization = 0.00 μB/f.u.; N(E_F) = 3.423 states/eV per cell; volume = 65.4 Å³/f.u.; total energy = -9.27 eV/atom; symmetry = P4/mmm, No. 123
1.0
2.905 0.000 0.000
0.000 2.905 0.000
0.000 0.000 7.751
Nb Ru Pt
2 1 1
Cartesian
0.000 0.000 1.824
0.000 0.000 5.927
1.453 1.453 0.000
1.453 1.453 3.876

# 2
Bi2Rh2Pb (PBE, optimized geometry); spin magnetization = 0.00 μB/f.u.; N(E_F) = 6.934 states/eV per cell; volume = 119.1 Å³/f.u.; E above lowest polymorph = 0 meV/atom; total energy = -5.34 eV/atom; symmetry = P2_1/m, No. 11
1.0
5.557 0.000 0.000
0.000 4.293 0.000
-2.298 0.000 9.983
Bi Rh Pb
4 4 2
Cartesian
-0.310 1.073 2.916
1.542 3.220 0.420
1.717 1.073 9.563
3.568 3.220 7.067
-0.232 3.220 4.803
0.671 3.220 8.012
2.588 1.073 1.971
3.491 1.073 5.179
0.846 1.073 6.218
2.413 3.220 3.765

# 3
PmCd11Ni (PBE, optimized geometry); spin magnetization = 0.00 μB/f.u.; N(E_F) = 5.619 states/eV per cell; volume = 283.9 Å³/f.u.; total energy = -1.68 eV/atom; symmetry = C2/m, No. 12
1.0
2.809 -7.145 0.000
2.809 7.145 0.000
-2.652 0.000 7.071
Pm Cd Ni
1 11 1
Cartesian
0.000 0.000 0.000
-1.326 0.000 3.535
1.405 3.573 0.000
0.118 2.410 2.550
0.211 1.458 5.534
0.118 -2.410 2.550
2.756 1.458 1.537
1.405 -3.573 0.000
0.211 -1.458 5.534
2.849 2.410 4.521
2.756 -1.458 1.537
2.849 -2.410 4.521
1.484 0.000 3.535

# 4
TaIr3Pt (PBE, optimized geometry); spin magnetization = 0.00 μB/f.u.; N(E_F) = 5.405 states/eV per cell; volume = 105.2 Å³/f.u.; E above lowest polymorph = 0 meV/atom; total energy = -7.20 eV/atom; symmetry = Pm-3m, No. 221
1.0
4.720 0.000 0.000
0.000 4.720 0.000
0.000 0.000 4.720
Ta Ir Pt
1 3 1
Cartesian
0.000 0.000 0.000
0.000 0.000 2.360
0.000 2.360 0.000
2.360 0.000 0.000
2.360 2.360 2.360

# 5
NiHgBr2 (PBE, optimized geometry); spin magnetization = 1.05 μB/f.u.; N(E_F) = 13.378 states/eV per cell; uncorrected formation energy = 0.448 eV/atom; volume = 91.9 Å³/f.u.; E above lowest polymorph = 686 meV/atom; total energy = -1.91 eV/atom; symmetry = Cmmm, No. 65
1.0
7.163 0.000 0.000
0.000 7.172 0.000
0.000 0.000 3.578
Ni Hg Br
2 2 4
Cartesian
0.000 0.000 0.000
3.582 3.586 0.000
0.000 3.586 0.000
3.582 0.000 0.000
1.791 1.793 1.789
1.791 5.379 1.789
5.373 1.793 1.789
5.373 5.379 1.789

# 6
SrTlAu2 (PBE, optimized geometry); spin magnetization = 0.00 μB/f.u.; N(E_F) = 4.053 states/eV per cell; volume = 109.1 Å³/f.u.; total energy = -3.08 eV/atom; symmetry = R3m, No. 160
1.0
4.857 0.000 0.000
-2.429 4.207 0.000
0.000 0.000 16.012
Sr Tl Au
3 3 6
Cartesian
0.000 0.000 0.000
0.000 2.804 10.675
2.429 1.402 5.337
0.000 0.000 3.317
0.000 2.804 13.992
2.429 1.402 8.655
0.000 0.000 7.097
0.000 0.000 12.631
0.000 2.804 1.759
0.000 2.804 7.294
2.429 1.402 1.957
2.429 1.402 12.434

# 7
Co2RuBr (PBE, optimized geometry); spin magnetization = 4.72 μB/f.u.; N(E_F) = 11.581 states/eV per cell; uncorrected formation energy = 0.821 eV/atom; volume = 60.0 Å³/f.u.; E above lowest polymorph = 295 meV/atom; total energy = -5.47 eV/atom; symmetry = Cmm2, No. 35
1.0
2.930 0.000 0.000
0.000 4.811 0.000
0.000 0.000 8.516
Co Ru Br
4 2 2
Cartesian
0.000 0.000 0.000
0.000 2.405 1.809
1.465 0.000 1.809
1.465 2.405 0.000
0.000 0.000 3.790
1.465 2.405 3.790
0.000 2.405 6.308
1.465 0.000 6.308

# 8
Cs3Ag2PdI9 (PBE, optimized geometry); spin magnetization = 0.00 μB/f.u.; N(E_F) = 5.142 states/eV per cell; uncorrected formation energy = -0.720 eV/atom; volume = 595.1 Å³/f.u.; total energy = -2.55 eV/atom; symmetry = P-3m1, No. 164
1.0
8.283 0.000 0.000
-4.142 7.173 0.000
0.000 0.000 10.014
Cs Ag Pd I
3 2 1 9
Cartesian
0.000 0.000 0.000
0.000 4.782 6.720
4.142 2.391 3.295
0.000 4.782 1.689
4.142 2.391 8.325
0.000 0.000 5.007
-2.071 3.587 0.000
0.000 2.297 3.411
-2.153 6.025 3.411
1.989 1.148 6.603
4.142 0.000 0.000
2.071 3.587 0.000
2.153 6.025 3.411
6.294 1.148 6.603
4.142 4.877 6.603

# 9
YZr3Fe (PBE, optimized geometry); spin magnetization = 0.00 μB/f.u.; N(E_F) = 7.467 states/eV per cell; volume = 120.3 Å³/f.u.; E above lowest polymorph = 0 meV/atom; total energy = -7.97 eV/atom; symmetry = Pm-3m, No. 221
1.0
4.936 0.000 0.000
0.000 4.936 0.000
0.000 0.000 4.936
Y Zr Fe
1 3 1
Cartesian
0.000 0.000 0.000
0.000 2.468 2.468
2.468 0.000 2.468
2.468 2.468 0.000
2.468 2.468 2.468

# 10
Pr4NO3 (PBE, optimized geometry); spin magnetization = 0.00 μB/f.u.; N(E_F) = 4.641 states/eV per cell; uncorrected formation energy = -2.400 eV/atom; volume = 134.9 Å³/f.u.; E above lowest polymorph = 0 meV/atom; total energy = -7.69 eV/atom; symmetry = I4/mmm, No. 139
1.0
5.125 0.000 0.000
0.000 5.125 0.000
0.000 0.000 10.275
Pr N O
8 2 6
Cartesian
0.000 0.000 2.518
0.000 0.000 7.757
0.000 2.562 0.000
0.000 2.562 5.138
2.562 0.000 0.000
2.562 0.000 5.138
2.562 2.562 2.620
2.562 2.562 7.656
0.000 0.000 0.000
2.562 2.562 5.138
0.000 0.000 5.138
0.000 2.562 2.569
0.000 2.562 7.706
2.562 0.000 2.569
2.562 0.000 7.706
2.562 2.562 0.000

# 11
LaSc2Sb (PBE, optimized geometry); spin magnetization = 0.00 μB/f.u.; N(E_F) = 11.791 states/eV per cell; uncorrected formation energy = -0.429 eV/atom; volume = 104.3 Å³/f.u.; total energy = -5.86 eV/atom; symmetry = I-4m2, No. 119
1.0
4.566 0.000 0.000
0.000 4.566 0.000
0.000 0.000 10.009
La Sc Sb
2 4 2
Cartesian
0.000 0.000 0.000
2.283 2.283 5.005
0.000 0.000 5.005
0.000 2.283 2.502
2.283 0.000 7.507
2.283 2.283 0.000
0.000 2.283 7.507
2.283 0.000 2.502

# 12
Sc2Ga3Pt4 (PBE, optimized geometry); spin magnetization = 0.00 μB/f.u.; N(E_F) = 2.820 states/eV per cell; volume = 156.0 Å³/f.u.; E above lowest polymorph = 31 meV/atom; total energy = -6.03 eV/atom; symmetry = P-1, No. 2
1.0
4.391 0.000 0.000
2.187 4.095 0.000
0.039 2.080 8.675
Sc Ga Pt
2 3 4
Cartesian
1.124 2.060 2.475
5.492 4.116 6.199
3.292 5.430 7.879
3.308 3.088 4.337
3.325 0.746 0.796
1.111 1.487 5.230
3.322 3.504 1.692
3.294 2.672 6.982
5.505 4.688 3.445

# 13
Ho2Zn7Cu (PBE, optimized geometry); spin magnetization = 0.00 μB/f.u.; N(E_F) = 4.821 states/eV per cell; volume = 178.3 Å³/f.u.; total energy = -2.49 eV/atom; symmetry = P-4m2, No. 115
1.0
4.046 0.000 0.000
0.000 4.046 0.000
0.000 0.000 10.893
Ho Zn Cu
2 7 1
Cartesian
0.000 2.023 2.693
2.023 0.000 8.199
0.000 0.000 0.000
0.000 0.000 5.446
0.000 2.023 6.977
0.000 2.023 9.413
2.023 0.000 1.480
2.023 0.000 3.916
2.023 2.023 5.446
2.023 2.023 0.000

# 14
GaTeI2Cl (PBE, optimized geometry); spin magnetization = 0.00 μB/f.u.; N(E_F) = 4.245 states/eV per cell; uncorrected formation energy = 0.358 eV/atom; volume = 184.8 Å³/f.u.; E above lowest polymorph = 159 meV/atom; total energy = -1.86 eV/atom; symmetry = P4/mmm, No. 123
1.0
5.810 0.000 0.000
0.000 5.810 0.000
0.000 0.000 5.476
Ga Te I Cl
1 1 2 1
Cartesian
0.000 0.000 0.000
2.905 2.905 0.000
0.000 2.905 2.738
2.905 0.000 2.738
2.905 2.905 2.738

# 15
ZnFe2B2 (PBE, optimized geometry); spin magnetization = 2.00 μB/f.u.; N(E_F) = 3.432 states/eV per cell; volume = 44.5 Å³/f.u.; total energy = -6.45 eV/atom; symmetry = P4/mbm, No. 127
1.0
5.582 0.000 0.000
0.000 5.582 0.000
0.000 0.000 2.854
Zn Fe B
2 4 4
Cartesian
0.000 0.000 0.000
2.791 2.791 0.000
0.930 1.861 1.427
1.861 4.652 1.427
3.721 0.930 1.427
4.652 3.721 1.427
0.631 3.422 0.000
2.160 0.631 0.000
3.422 4.951 0.000
4.951 2.160 0.000

# 16
TbSi2RuRh (PBE, optimized geometry); spin magnetization = 0.00 μB/f.u.; N(E_F) = 4.687 states/eV per cell; uncorrected formation energy = -1.040 eV/atom; volume = 83.4 Å³/f.u.; total energy = -7.46 eV/atom; symmetry = I-4m2, No. 119
1.0
4.129 0.000 0.000
0.000 4.129 0.000
0.000 0.000 9.788
Tb Si Ru Rh
2 4 2 2
Cartesian
0.000 0.000 0.000
2.064 2.064 4.894
0.000 0.000 3.650
0.000 0.000 6.138
2.064 2.064 1.244
2.064 2.064 8.544
0.000 2.064 2.447
2.064 0.000 7.341
0.000 2.064 7.341
2.064 0.000 2.447

# 17
CdInGa2Co (PBE, optimized geometry); spin magnetization = 0.00 μB/f.u.; N(E_F) = 2.069 states/eV per cell; volume = 106.9 Å³/f.u.; E above lowest polymorph = 0 meV/atom; total energy = -3.37 eV/atom; symmetry = P4/mmm, No. 123
1.0
4.614 0.000 0.000
0.000 4.614 0.000
0.000 0.000 5.022
Cd In Ga Co
1 1 2 1
Cartesian
0.000 0.000 0.000
2.307 2.307 0.000
0.000 2.307 2.511
2.307 0.000 2.511
2.307 2.307 2.511

# 18
SiGeS3 (PBE, optimized geometry); spin magnetization = 0.00 μB/f.u.; N(E_F) = 0.000 states/eV per cell; uncorrected formation energy = -0.495 eV/atom; volume = 130.2 Å³/f.u.; total energy = -4.98 eV/atom; symmetry = P2_1/c, No. 14
1.0
7.728 0.000 0.000
0.000 10.515 0.000
-1.713 0.000 6.410
Si Ge S
4 4 12
Cartesian
1.635 2.363 0.158
0.779 2.894 3.363
5.236 7.621 3.047
4.380 8.152 6.253
2.646 5.751 1.469
1.790 10.022 4.675
4.225 0.493 1.736
3.369 4.764 4.941
-0.955 2.524 4.597
-0.098 2.734 1.392
2.200 0.300 0.409
1.343 4.958 3.614
2.477 1.723 3.845
3.334 3.534 0.640
2.681 6.981 5.770
3.537 8.792 2.565
4.671 5.557 2.796
3.815 10.215 6.001
6.113 7.781 5.018
6.969 7.991 1.813

# 19
LiPdI (PBE, optimized geometry); spin magnetization = 0.00 μB/f.u.; N(E_F) = 0.000 states/eV per cell; uncorrected formation energy = -0.451 eV/atom; volume = 66.3 Å³/f.u.; E above lowest polymorph = 106 meV/atom; total energy = -3.34 eV/atom; symmetry = P6_3mc, No. 186
1.0
4.454 0.000 0.000
-2.227 3.857 0.000
0.000 0.000 7.724
Li Pd I
2 2 2
Cartesian
0.000 0.000 0.000
0.000 0.000 3.862
0.000 2.571 0.791
2.227 1.286 4.653
0.000 2.571 5.856
2.227 1.286 1.994

# 20
MoW5S12 (PBE, optimized geometry); spin magnetization = 0.20 μB/f.u.; N(E_F) = 3.461 states/eV per cell; uncorrected formation energy = -0.610 eV/atom; volume = 376.9 Å³/f.u.; total energy = -7.56 eV/atom; symmetry = C2/m, No. 12
1.0
2.774 -5.055 0.000
2.774 5.055 0.000
-0.018 0.000 13.441
Mo W S
1 5 12
Cartesian
0.000 0.000 0.000
2.765 3.693 6.720
2.774 1.365 0.000
2.765 0.000 6.720
2.774 -1.365 0.000
2.765 -3.693 6.720
1.841 3.296 11.997
1.857 1.749 8.164
0.934 0.000 5.030
1.816 0.000 11.753
3.689 3.296 1.443
3.674 1.749 5.276
1.857 -1.749 8.164
1.841 -3.296 11.997
3.715 0.000 1.687
4.596 0.000 8.411
3.674 -1.749 5.276
3.689 -3.296 1.443

# 21
NiHSe2 (PBE, optimized geometry); spin magnetization = 0.00 μB/f.u.; N(E_F) = 7.604 states/eV per cell; volume = 64.6 Å³/f.u.; E above lowest polymorph = 41 meV/atom; total energy = -4.12 eV/atom; symmetry = C2, No. 5
1.0
12.449 0.000 0.000
0.000 3.747 0.000
-2.888 0.000 5.539
Ni H Se
4 4 8
Cartesian
2.390 0.000 1.385
0.947 1.874 4.154
7.171 0.000 4.154
8.614 1.874 1.385
11.722 0.936 1.384
-2.161 0.936 4.155
5.498 2.810 1.384
4.063 2.810 4.155
-0.638 0.135 4.542
0.806 1.740 1.773
3.975 2.008 0.997
2.530 3.614 3.766
5.586 2.008 4.542
7.031 3.614 1.773
10.199 0.135 0.997
8.755 1.740 3.766

# 22
BaLaNi (PBE, optimized geometry); spin magnetization = 0.00 μB/f.u.; N(E_F) = 2.795 states/eV per cell; volume = 113.2 Å³/f.u.; E above lowest polymorph = 0 meV/atom; total energy = -4.25 eV/atom; symmetry = P3m1, No. 156
1.0
4.279 0.000 0.000
-2.139 3.706 0.000
0.000 0.000 7.140
Ba La Ni
1 1 1
Cartesian
0.000 0.000 0.000
2.139 1.235 3.878
0.000 2.470 5.183

# 23
K2Cu6P3 (PBE, optimized geometry); spin magnetization = 0.00 μB/f.u.; N(E_F) = 5.243 states/eV per cell; volume = 236.0 Å³/f.u.; total energy = -4.06 eV/atom; symmetry = P-62m, No. 189
1.0
8.187 0.000 0.000
-4.093 7.090 0.000
0.000 0.000 4.066
K Cu P
2 6 3
Cartesian
0.000 4.727 0.000
4.093 2.363 0.000
-0.799 1.383 2.033
-3.306 5.727 0.000
0.787 1.363 0.000
1.597 0.000 2.033
3.295 5.707 2.033
6.613 0.000 0.000
-2.786 4.826 2.033
1.307 2.264 2.033
5.573 0.000 2.033

# 24
LaAl2Pt (PBE, optimized geometry); spin magnetization = 0.00 μB/f.u.; N(E_F) = 3.471 states/eV per cell; volume = 81.4 Å³/f.u.; total energy = -5.25 eV/atom; symmetry = Pmm2, No. 25
1.0
3.293 0.000 0.000
0.000 3.417 0.000
0.000 0.000 7.234
La Al Pt
1 2 1
Cartesian
0.000 0.000 0.000
0.000 0.000 3.341
1.646 1.708 4.923
1.646 1.708 2.238

# 25
AcScS3 (PBE, optimized geometry); spin magnetization = 0.00 μB/f.u.; uncorrected formation energy = -1.877 eV/atom; volume = 118.8 Å³/f.u.; E above lowest polymorph = 195 meV/atom; total energy = -6.44 eV/atom; symmetry = Pm-3m, No. 221
1.0
4.916 0.000 0.000
0.000 4.916 0.000
0.000 0.000 4.916
Ac Sc S
1 1 3
Cartesian
0.000 0.000 0.000
2.458 2.458 2.458
0.000 2.458 2.458
2.458 0.000 2.458
2.458 2.458 0.000